PBE with a Hubbard U GaCuNiF6, optimized geometry; DOS(E_F) = 8.78 states/eV/f.u.; size of the total moment = 2.11 μB per formula unit; raw total energy = -0.16092 hartree per atom
1.0
5.228 0.000 0.000
-2.614 4.527 0.000
0.000 0.000 9.395
F Cu Ni Ga
12 2 2 2
Cartesian
0.992 1.588 3.405
1.622 2.939 5.989
-0.880 1.653 5.989
3.494 2.874 3.405
3.356 0.065 3.405
-1.622 2.939 8.102
0.880 1.653 8.102
-0.742 4.463 5.989
1.734 2.874 1.292
1.871 0.065 1.292
0.742 4.463 8.102
4.236 1.588 1.292
0.000 0.000 4.697
0.000 0.000 0.000
2.614 1.509 7.046
0.000 3.018 2.349
0.000 3.018 7.046
2.614 1.509 2.349